1.
Material: BeZn2In
Method: DFT, GGA-PBE
State: optimized geometry

Computed properties:
* SG: C2/m
* electronic total energy: -2.00 eV/atom
* magnetic moment: 0.0000 μB per atom
* ΔH_f (0 K): 255.2 meV/atom
* E above lowest polymorph: 0.52 kcal/mol of atoms

Cell: 4.534 4.534 5.592 Å, 75.31 75.31 36.79°
Fractional coordinates of all 4 atoms:
Zn  0.024  0.024  0.938
Zn  0.476  0.476  0.562
In  0.250  0.250  0.250
Be  0.750  0.750  0.750

2.
Material: BeZn2In
Method: DFT, GGA-PBE
State: optimized geometry

Computed properties:
* SG: Immm
* electronic total energy: -1.97 eV/atom
* magnetic moment: 0.0000 μB per atom
* ΔH_f (0 K): 284.4 meV/atom
* E above lowest polymorph: 1.19 kcal/mol of atoms

Cell: 5.719 5.719 5.719 Å, 152.33 130.10 58.00°
Fractional coordinates of all 4 atoms:
Zn  0.957  0.957  0.000
Zn  0.543  0.543  0.000
Be  0.750  0.250  0.500
In  0.250  0.750  0.500

3.
Material: BeZn2In
Method: DFT, GGA-PBE
State: optimized geometry

Computed properties:
* SG: I4/mmm
* electronic total energy: -1.93 eV/atom
* magnetic moment: 0.0000 μB per atom
* ΔH_f (0 K): 326.9 meV/atom
* E above lowest polymorph: 2.17 kcal/mol of atoms

Cell: 4.952 4.952 4.952 Å, 132.53 132.53 69.39°
Fractional coordinates of all 4 atoms:
Zn  0.500  0.500  0.000
Zn  0.000  0.000  0.000
In  0.750  0.250  0.500
Be  0.250  0.750  0.500

4.
Material: Be2ZnIn
Method: DFT, GGA-PBE
State: optimized geometry

Computed properties:
* SG: P4mm
* electronic total energy: -2.47 eV/atom
* magnetic moment: 0.0000 μB per atom
* ΔH_f (0 K): 395.5 meV/atom
* E above lowest polymorph: 0.95 kcal/mol of atoms

Cell: 2.812 2.812 7.469 Å, 90.00 90.00 90.00°
Fractional coordinates of all 4 atoms:
Be  0.500  0.500  0.183
Be  0.000  0.000  0.025
Zn  0.500  0.500  0.815
In  0.000  0.000  0.477

5.
Material: BeZn2In
Method: DFT, GGA-PBE
State: optimized geometry

Computed properties:
* SG: Pmmm
* electronic total energy: -1.95 eV/atom
* magnetic moment: 0.0000 μB per atom
* ΔH_f (0 K): 301.5 meV/atom
* E above lowest polymorph: 1.58 kcal/mol of atoms

Cell: 3.383 3.816 5.118 Å, 90.00 90.00 90.00°
Fractional coordinates of all 4 atoms:
Zn  0.000  0.000  0.485
Zn  0.000  0.000  0.015
Be  0.500  0.500  0.250
In  0.500  0.500  0.750

6.
Material: Be2ZnIn
Method: DFT, GGA-PBE
State: optimized geometry

Computed properties:
* SG: I4/mmm
* electronic total energy: -2.38 eV/atom
* magnetic moment: 0.0000 μB per atom
* ΔH_f (0 K): 481.7 meV/atom
* E above lowest polymorph: 2.93 kcal/mol of atoms

Cell: 4.659 4.659 4.659 Å, 130.23 130.21 73.05°
Fractional coordinates of all 4 atoms:
Be  0.000  0.000  0.000
Be  0.500  0.500  0.000
In  0.750  0.250  0.500
Zn  0.250  0.750  0.500